Density functional theory data (PBE) for crystalline CsCuF2 at its relaxed geometry.

a b c (Å): 5.344 5.344 12.011
angles (deg): 90.00 90.00 90.00
Space group I-42d (No. 122)
One atom of each set of equivalent atoms:
1 Cs 0.000 0.000 0.000 [4 per cell]
2 Cu 0.000 0.000 0.500 [4 per cell]
3 F 0.105 0.250 0.625 [8 per cell]

Properties
E_form (uncorrected)   -39.81 kcal/mol of atoms
VASP energy   -3.899 eV per atom



Density functional theory data (PBE) for crystalline Cs2CuF4 at its relaxed geometry.

a b c (Å): 6.080 6.824 8.704
angles (deg): 90.00 107.42 90.00
Space group P2_1/m (No. 11)
One atom of each set of equivalent atoms:
1 Cs 0.189 0.250 0.479 [2 per cell]
2 Cs 0.242 0.750 0.080 [2 per cell]
3 Cu 0.435 0.750 0.725 [2 per cell]
4 F 0.256 0.250 0.132 [2 per cell]
5 F 0.274 0.750 0.496 [2 per cell]
6 F 0.358 0.010 0.761 [4 per cell]

Properties
E_form (uncorrected)   -50.67 kcal/mol of atoms
VASP energy   -4.096 eV per atom



| no. | excess energy over the best structure of this formula in the dataset (meV per atom) |
| --- | --- |
| 1 | 198.8 |
| 2 | 77.8 |